#A
The following is a DFT calculation (PBE) of a relaxed La2NiHgN crystal.

Properties
The space-group type is P4/mmm. Its total magnetization is 0.0769 μB/atom.

abc: 5.333 5.333 3.771
angles: 90.00 90.00 90.00
Positions (direct):
Hg (0.500, 0.500, 0.500)
Ni (0.000, 0.000, 0.500)
La (0.000, 0.500, 0.000)
N (0.000, 0.000, 0.000)
La (0.500, 0.000, 0.000)

#B
The following is a DFT calculation (PBE) of a relaxed La2NiHgN crystal.

Properties
The space-group type is P2_1/m. Its total magnetization is 0.0000 μB/atom.

abc: 3.927 7.280 8.683
angles: 115.31 90.00 90.00
Positions (direct):
N (0.750, 0.155, 0.182)
Hg (0.750, 0.297, 0.716)
La (0.250, 0.206, 0.984)
N (0.250, 0.845, 0.818)
Hg (0.250, 0.703, 0.284)
La (0.250, 0.215, 0.387)
Ni (0.750, 0.443, 0.256)
La (0.750, 0.794, 0.016)
La (0.750, 0.785, 0.613)
Ni (0.250, 0.557, 0.744)

Result of the stability comparison: #B is the most stable of them.

#A
The following is a DFT calculation (PBE) of a relaxed La2ReHgN crystal.

Properties
The space-group type is P4/mmm. Its total magnetization is 0.1640 μB/atom.

abc: 5.001 4.476 5.001
angles: 90.00 90.00 90.00
Positions (direct):
Re (0.500, 0.500, 0.500)
La (0.000, 0.000, 0.500)
Hg (0.000, 0.500, 0.000)
N (0.000, 0.000, 0.000)
La (0.500, 0.000, 0.000)

#B
The following is a DFT calculation (PBE) of a relaxed La2ReHgN crystal.

Properties
The space-group type is P4/mmm. Its total magnetization is 0.0000 μB/atom.

abc: 5.362 5.362 3.917
angles: 90.00 90.00 90.00
Positions (direct):
Re (0.000, 0.000, 0.500)
La (0.500, 0.000, 0.000)
Hg (0.500, 0.500, 0.500)
La (0.000, 0.500, 0.000)
N (0.000, 0.000, 0.000)

Result of the stability comparison: #B is the most stable of them.

#A
The following is a DFT calculation (PBE) of a relaxed LaHgSN2 crystal.

Properties
The space-group type is P4/mmm. Its total magnetization is 0.0006 μB/atom.

abc: 4.175 4.175 6.290
angles: 90.00 90.00 90.00
Positions (direct):
S (0.000, 0.000, 0.500)
Hg (0.500, 0.500, 0.500)
N (0.500, 0.000, 0.000)
La (0.000, 0.000, 0.000)
N (0.000, 0.500, 0.000)

#B
The following is a DFT calculation (PBE) of a relaxed LaHgSN2 crystal.

Properties
The space-group type is P4/mmm. Its total magnetization is 0.2792 μB/atom.

abc: 4.319 4.319 4.953
angles: 90.00 90.00 90.00
Positions (direct):
N (0.000, 0.500, 0.000)
N (0.500, 0.000, 0.000)
La (0.500, 0.500, 0.500)
Hg (0.000, 0.000, 0.000)
S (0.000, 0.000, 0.500)

Result of the stability comparison: #B is the most stable of them.

#A
The following is a DFT calculation (PBE) of a relaxed LaHgSeN2 crystal.

Properties
The space-group type is P4/mmm. Its total magnetization is 0.0002 μB/atom.

abc: 4.226 4.226 6.611
angles: 90.00 90.00 90.00
Positions (direct):
N (0.500, 0.000, 0.000)
Se (0.000, 0.000, 0.500)
N (0.000, 0.500, 0.000)
Hg (0.500, 0.500, 0.500)
La (0.000, 0.000, 0.000)

#B
The following is a DFT calculation (PBE) of a relaxed LaHgSeN2 crystal.

Properties
The space-group type is P4/mmm. Its total magnetization is 0.3112 μB/atom.

abc: 4.388 4.388 5.161
angles: 90.00 90.00 90.00
Positions (direct):
Hg (0.000, 0.000, 0.000)
N (0.500, 0.000, 0.000)
Se (0.000, 0.000, 0.500)
La (0.500, 0.500, 0.500)
N (0.000, 0.500, 0.000)

Result of the stability comparison: #A is the most stable of them.